# 1
Here is crystalline Nd2SnRu at its relaxed geometry from Alexandria. Energies are from GGA-PBE.

extended XYZ file:
```
12
Lattice="3.7370 0.0000 0.0000 -1.8685 3.2363 0.0000 0.0000 0.0000 27.1752" Properties=species:S:1:pos:R:3 pbc="T T T"
Nd 0.0000 0.0000 6.4382
Nd 0.0000 0.0000 20.7370
Nd 0.0000 2.1576 11.6786
Nd 0.0000 2.1576 24.5550
Nd 1.8685 1.0788 2.6202
Nd 1.8685 1.0788 15.4966
Sn 0.0000 0.0000 0.0000
Sn 0.0000 2.1576 18.1168
Sn 1.8685 1.0788 9.0584
Ru 0.0000 0.0000 13.5876
Ru 0.0000 2.1576 4.5292
Ru 1.8685 1.0788 22.6460
```

Its polymorph energy (0 for the lowest one) is 0.213 eV per atom.

---

# 2
Here is crystalline Nd12Sn6Ru at its relaxed geometry from Alexandria. Energies are from GGA-PBE.

extended XYZ file:
```
19
Lattice="6.7668 3.9068 4.2247 -6.7668 3.9068 4.2247 0.0000 -7.8136 4.2247" Properties=species:S:1:pos:R:3 pbc="T T T"
Nd -4.5323 -4.6575 6.9559
Nd -6.2996 1.5963 5.7182
Nd -1.5931 -1.9778 5.0071
Nd 1.7674 -6.2538 5.7183
Nd -0.9163 2.3686 5.0071
Nd -2.5094 0.3908 7.6671
Nd 2.5094 -0.3908 5.0071
Nd 0.9163 -2.3686 7.6671
Nd -1.7674 6.2538 6.9559
Nd 1.5931 1.9778 7.6671
Nd 6.2996 -1.5963 6.9559
Nd 4.5323 4.6575 5.7182
Sn -3.5000 0.5740 4.5304
Sn 1.2529 -3.3181 4.5304
Sn -2.2471 -2.7441 8.1438
Sn 2.2471 2.7441 4.5304
Sn -1.2529 3.3181 8.1438
Sn 3.5000 -0.5740 8.1438
Ru 0.0000 0.0000 0.0000
```

As for the total energy: -0.1898 Ha/atom.

---

# 3
Here is crystalline Nd2SnRu at its relaxed geometry from Alexandria. Energies are from GGA-PBE.

extended XYZ file:
```
8
Lattice="4.6141 0.0000 0.0000 0.0000 5.0292 0.0000 -2.3150 0.0000 9.4137" Properties=species:S:1:pos:R:3 pbc="T T T"
Nd -0.0045 1.2573 1.4825
Nd 0.0003 3.7719 4.9427
Nd 2.2988 1.2573 4.4710
Nd 2.3036 3.7719 7.9312
Sn -0.0024 1.2573 6.9477
Sn 2.3014 3.7719 2.4660
Ru 2.3070 0.0000 0.0000
Ru 2.3070 2.5146 0.0000
```

Its polymorph energy (0 for the lowest one) is 0.091 eV per atom.

---

# 4
Here is crystalline Nd4SnRu2 at its relaxed geometry from Alexandria. Energies are from GGA-PBE.

extended XYZ file:
```
14
Lattice="0.0000 6.7023 6.7207 4.6370 0.0000 6.7207 4.6370 6.7023 0.0000" Properties=species:S:1:pos:R:3 pbc="T T T"
Nd 2.7248 2.8866 2.8889
Nd 6.5491 6.2377 6.2492
Nd 4.2306 7.1668 2.8889
Nd 4.2306 2.8866 7.1922
Nd 5.0433 10.5179 6.2492
Nd 5.0433 6.2377 10.5526
Nd 2.7248 7.1668 7.1922
Nd 6.5491 10.5179 10.5526
Sn 3.4777 5.0267 5.0406
Sn 5.7962 8.3778 8.4009
Ru 0.0000 0.0000 0.0000
Ru 2.3185 3.3511 0.0000
Ru 2.3185 0.0000 3.3604
Ru 0.0000 3.3511 3.3604
```

As for the total energy: -0.2232 Ha/atom.

---

# 5
Here is crystalline Nd8SnRu2 at its relaxed geometry from Alexandria. Energies are from GGA-PBE.

extended XYZ file:
```
11
Lattice="4.4815 -6.8139 0.0000 4.4815 6.8139 0.0000 -1.3592 0.0000 5.4423" Properties=species:S:1:pos:R:3 pbc="T T T"
Nd 1.0029 1.7323 3.0608
Nd 4.4815 3.4270 0.0000
Nd 1.0029 -1.7323 3.0608
Nd 3.2184 0.0000 1.0821
Nd 4.3853 0.0000 4.3602
Nd 6.6008 1.7323 2.3815
Nd 4.4815 -3.4270 0.0000
Nd 6.6008 -1.7323 2.3815
Sn 0.0000 0.0000 0.0000
Ru 3.8018 2.6789 2.7211
Ru 3.8018 -2.6789 2.7211
```

As for the total energy: -0.2102 Ha/atom.

---

# 6
Here is crystalline NdSn3Ru at its relaxed geometry from Alexandria. Energies are from GGA-PBE.

extended XYZ file:
```
40
Lattice="9.7992 0.0000 0.0000 0.0000 9.7992 0.0000 0.0000 0.0000 9.7992" Properties=species:S:1:pos:R:3 pbc="T T T"
Nd 0.0000 0.0000 0.0000
Nd 0.0000 2.4498 4.8996
Nd 0.0000 7.3494 4.8996
Nd 2.4498 4.8996 0.0000
Nd 4.8996 0.0000 2.4498
Nd 4.8996 0.0000 7.3494
Nd 4.8996 4.8996 4.8996
Nd 7.3494 4.8996 0.0000
Sn 0.0000 3.0814 1.5256
Sn 0.0000 3.0814 8.2736
Sn 0.0000 6.7178 1.5256
Sn 0.0000 6.7178 8.2736
Sn 1.5256 0.0000 3.0814
Sn 1.5256 0.0000 6.7178
Sn 1.8182 4.8996 3.3740
Sn 1.8182 4.8996 6.4252
Sn 3.0814 1.5256 0.0000
Sn 3.0814 8.2736 0.0000
Sn 3.3740 1.8182 4.8996
Sn 3.3740 7.9810 4.8996
Sn 4.8996 3.3740 1.8182
Sn 4.8996 3.3740 7.9810
Sn 4.8996 6.4252 1.8182
Sn 4.8996 6.4252 7.9810
Sn 6.4252 1.8182 4.8996
Sn 6.4252 7.9810 4.8996
Sn 6.7178 1.5256 0.0000
Sn 6.7178 8.2736 0.0000
Sn 7.9810 4.8996 3.3740
Sn 7.9810 4.8996 6.4252
Sn 8.2736 0.0000 3.0814
Sn 8.2736 0.0000 6.7178
Ru 2.4498 2.4498 2.4498
Ru 2.4498 2.4498 7.3494
Ru 2.4498 7.3494 2.4498
Ru 2.4498 7.3494 7.3494
Ru 7.3494 2.4498 2.4498
Ru 7.3494 2.4498 7.3494
Ru 7.3494 7.3494 2.4498
Ru 7.3494 7.3494 7.3494
```

As for the total energy: -0.2096 Ha/atom.

---

# 7
Here is crystalline NdSn12Ru4 at its relaxed geometry from Alexandria. Energies are from GGA-PBE.

extended XYZ file:
```
17
Lattice="-4.7516 4.7516 4.7516 4.7516 -4.7516 4.7516 4.7516 4.7516 -4.7516" Properties=species:S:1:pos:R:3 pbc="T T T"
Nd 0.0000 0.0000 0.0000
Sn 3.1492 0.0000 1.5628
Sn 6.3539 0.0000 1.5628
Sn 4.7516 3.1888 -1.6024
Sn 1.5628 3.1492 0.0000
Sn 3.1888 -1.6024 4.7516
Sn 0.0000 1.5628 3.1492
Sn 4.7516 3.1888 1.6024
Sn 1.5628 6.3539 0.0000
Sn 3.1888 1.6024 4.7516
Sn 0.0000 1.5628 6.3539
Sn -1.6024 4.7516 3.1888
Sn 1.6024 4.7516 3.1888
Ru 2.3758 2.3758 -2.3758
Ru 2.3758 -2.3758 2.3758
Ru -2.3758 2.3758 2.3758
Ru 2.3758 2.3758 2.3758
```

As for the total energy: -0.1959 Ha/atom.

---

# 8
Here is crystalline Nd8Sn2Ru at its relaxed geometry from Alexandria. Energies are from GGA-PBE.

extended XYZ file:
```
11
Lattice="9.8373 -2.5532 0.0000 9.8373 2.5532 0.0000 -1.8239 0.0000 6.7448" Properties=species:S:1:pos:R:3 pbc="T T T"
Nd -0.2295 0.0000 1.9175
Nd 2.7573 0.0000 5.5222
Nd 6.0621 0.0000 3.3890
Nd 7.9988 0.0000 0.2322
Nd 9.8518 0.0000 6.5126
Nd 11.7885 0.0000 3.3558
Nd 15.0933 0.0000 1.2226
Nd 18.0801 0.0000 4.8273
Sn 3.0823 0.0000 1.6855
Sn 14.7683 0.0000 5.0593
Ru 8.9253 0.0000 3.3724
```

As for the total energy: -0.1977 Ha/atom.

---

# 9
Here is crystalline Nd2Sn4Ru at its relaxed geometry from Alexandria. Energies are from GGA-PBE.

extended XYZ file:
```
14
Lattice="4.6079 0.0000 0.0000 0.0000 4.6554 0.0000 0.0000 0.0000 17.0712" Properties=species:S:1:pos:R:3 pbc="T T T"
Nd 0.0000 0.0000 0.0000
Nd 0.0000 2.3277 8.5356
Nd 2.3039 0.0000 3.5033
Nd 2.3039 2.3277 12.0389
Sn 0.0000 0.0000 6.2297
Sn 0.0000 0.0000 11.0036
Sn 0.0000 2.3277 2.4680
Sn 0.0000 2.3277 14.7653
Sn 2.3039 0.0000 8.9979
Sn 2.3039 0.0000 14.7696
Sn 2.3039 2.3277 0.4623
Sn 2.3039 2.3277 6.2340
Ru 0.0000 0.0000 13.5742
Ru 0.0000 2.3277 5.0386
```

As for the total energy: -0.2028 Ha/atom.

---

# 10
Here is crystalline Nd2SnRu at its relaxed geometry from Alexandria. Energies are from GGA-PBE.

extended XYZ file:
```
4
Lattice="3.4935 0.0000 0.0000 0.0000 3.4935 0.0000 0.0000 0.0000 8.3842" Properties=species:S:1:pos:R:3 pbc="T T T"
Nd 0.0000 0.0000 1.7533
Nd 0.0000 0.0000 6.6308
Sn 1.7468 1.7468 4.1921
Ru 1.7468 1.7468 0.0000
```

Its polymorph energy (0 for the lowest one) is 0.000 eV per atom.

---

Ordered theoretical density results: 7.70; 6.30; 7.73; 7.14; 7.37; 8.49; 7.64; 7.31; 7.84; 8.25; unit Mg/m³.